DFT (PBE-GGA) results for a geometry-optimized Ce6In2H structure.

Cell and atoms, written as CIF:
```
data_Ce6In2H
_chemical_formula_sum 'Ce12 In4 H2'
_symmetry_space_group_name_H-M 'I m m m'
_symmetry_Int_Tables_number 71
_symmetry_space_group_name_Hall '-I 2 2'
_cell_length_a 6.670
_cell_length_b 6.671
_cell_length_c 9.981
_cell_angle_alpha 90.00
_cell_angle_beta 90.00
_cell_angle_gamma 90.00
loop_
_atom_site_label
_atom_site_type_symbol
_atom_site_fract_x
_atom_site_fract_y
_atom_site_fract_z
Ce1 Ce 0.000 0.000 0.230
Ce2 Ce 0.239 0.214 0.500
In1 In 0.000 0.500 0.260
H1 H 0.000 0.000 0.000
```

Properties
For the total moment, the calculation gives 4.258 μB/f.u. The uncorrected energy comes out at -5.183 eV/atom.



DFT (PBE-GGA) results for a geometry-optimized Ce3InH3 structure.

Cell and atoms, written as CIF:
```
data_Ce3InH3
_chemical_formula_sum 'Ce18 In6 H18'
_symmetry_space_group_name_H-M 'R -3'
_symmetry_Int_Tables_number 148
_symmetry_space_group_name_Hall '-R 3'
_cell_length_a 6.5364
_cell_length_b 6.5364
_cell_length_c 23.7256
_cell_angle_alpha 90.00
_cell_angle_beta 90.00
_cell_angle_gamma 120.00
loop_
_atom_site_label
_atom_site_type_symbol
_atom_site_fract_x
_atom_site_fract_y
_atom_site_fract_z
Ce1 Ce 0.0026 0.3202 0.1017
In1 In 0.0000 0.0000 0.3329
H1 H 0.0027 0.3499 0.8658
```

Properties
For the total moment, the calculation gives 3.218 μB/f.u. The uncorrected energy comes out at -4.638 eV/atom.



DFT (PBE-GGA) results for a geometry-optimized Ce3InH structure.

Cell and atoms, written as CIF:
```
data_Ce3InH
_chemical_formula_sum 'Ce12 In4 H4'
_symmetry_space_group_name_H-M 'C 1 2/m 1'
_symmetry_Int_Tables_number 12
_cell_length_a 10.772
_cell_length_b 6.732
_cell_length_c 8.094
_cell_angle_alpha 90.00
_cell_angle_beta 130.46
_cell_angle_gamma 90.00
loop_
_symmetry_equiv_pos_as_xyz
'x,y,z'
'-x,-y,-z'
'-x,y,-z'
'x,-y,z'
'x+1/2,y+1/2,z'
'-x+1/2,-y+1/2,-z'
'-x+1/2,y+1/2,-z'
'x+1/2,-y+1/2,z'
loop_
_atom_site_label
_atom_site_type_symbol
_atom_site_fract_x
_atom_site_fract_y
_atom_site_fract_z
Ce1 Ce 0.060 0.000 0.389
Ce2 Ce 0.174 0.238 0.128
In1 In 0.043 0.500 0.354
H1 H 0.205 0.000 0.932
```

Properties
For the total moment, the calculation gives 1.934 μB/f.u. The uncorrected energy comes out at -5.023 eV/atom.



DFT (PBE-GGA) results for a geometry-optimized Ce3InH3 structure.

Cell and atoms, written as CIF:
```
data_Ce3InH3
_chemical_formula_sum 'Ce6 In2 H6'
_symmetry_space_group_name_H-M 'P m -3 n'
_symmetry_Int_Tables_number 223
_symmetry_space_group_name_Hall '-P 4n 2 3'
_cell_length_a 6.433
_cell_length_b 6.433
_cell_length_c 6.433
_cell_angle_alpha 90.00
_cell_angle_beta 90.00
_cell_angle_gamma 90.00
loop_
_atom_site_label
_atom_site_type_symbol
_atom_site_fract_x
_atom_site_fract_y
_atom_site_fract_z
Ce1 Ce 0.000 0.250 0.500
In1 In 0.000 0.000 0.000
H1 H 0.000 0.500 0.250
```

Properties
For the total moment, the calculation gives 3.889 μB/f.u. The uncorrected energy comes out at -4.761 eV/atom.



DFT (PBE-GGA) results for a geometry-optimized Ce2In2H structure.

Cell and atoms, written as CIF:
```
data_Ce2In2H
_chemical_formula_sum 'Ce8 In8 H4'
_symmetry_space_group_name_H-M 'C 1 2/m 1'
_symmetry_Int_Tables_number 12
_cell_length_a 12.094
_cell_length_b 4.411
_cell_length_c 9.227
_cell_angle_alpha 90.00
_cell_angle_beta 110.38
_cell_angle_gamma 90.00
loop_
_symmetry_equiv_pos_as_xyz
'x,y,z'
'-x,-y,-z'
'-x,y,-z'
'x,-y,z'
'x+1/2,y+1/2,z'
'-x+1/2,-y+1/2,-z'
'-x+1/2,y+1/2,-z'
'x+1/2,-y+1/2,z'
loop_
_atom_site_label
_atom_site_type_symbol
_atom_site_fract_x
_atom_site_fract_y
_atom_site_fract_z
Ce1 Ce 0.073 0.000 0.149
Ce2 Ce 0.186 0.000 0.626
In1 In 0.031 0.500 0.367
In2 In 0.162 0.500 0.941
H1 H 0.232 0.000 0.389
```

Properties
For the total moment, the calculation gives 1.581 μB/f.u. The uncorrected energy comes out at -4.521 eV/atom.



DFT (PBE-GGA) results for a geometry-optimized CeInH2 structure.

Cell and atoms, written as CIF:
```
data_CeInH2
_chemical_formula_sum 'Ce3 In3 H6'
_symmetry_space_group_name_H-M 'R -3 m'
_symmetry_Int_Tables_number 166
_symmetry_space_group_name_Hall '-R 3 2"'
_cell_length_a 3.7643
_cell_length_b 3.7643
_cell_length_c 16.0244
_cell_angle_alpha 90.00
_cell_angle_beta 90.00
_cell_angle_gamma 120.00
loop_
_atom_site_label
_atom_site_type_symbol
_atom_site_fract_x
_atom_site_fract_y
_atom_site_fract_z
Ce1 Ce 0.0000 0.0000 0.0000
In1 In 0.0000 0.0000 0.5000
H1 H 0.0000 0.0000 0.3021
```

Properties
For the total moment, the calculation gives 0.097 μB/f.u. The uncorrected energy comes out at -4.170 eV/atom.



DFT (PBE-GGA) results for a geometry-optimized Ce12In3H5 structure.

Cell and atoms, written as CIF:
```
data_Ce12In3H5
_chemical_formula_sum 'Ce96 In24 H40'
_symmetry_space_group_name_H-M 'I a -3 d'
_symmetry_Int_Tables_number 230
_symmetry_space_group_name_Hall '-I 4bd 2c 3'
_cell_length_a 15.855
_cell_length_b 15.855
_cell_length_c 15.855
_cell_angle_alpha 90.00
_cell_angle_beta 90.00
_cell_angle_gamma 90.00
loop_
_atom_site_label
_atom_site_type_symbol
_atom_site_fract_x
_atom_site_fract_y
_atom_site_fract_z
Ce1 Ce 0.043 0.054 0.645
In1 In 0.000 0.250 0.125
H1 H 0.000 0.000 0.000
H2 H 0.000 0.250 0.375
```

Properties
For the total moment, the calculation gives 17.562 μB/f.u. The uncorrected energy comes out at -4.876 eV/atom.



DFT (PBE-GGA) results for a geometry-optimized Ce4In2H structure.

Cell and atoms, written as CIF:
```
data_Ce4In2H
_chemical_formula_sum 'Ce8 In4 H2'
_symmetry_space_group_name_H-M 'I 4/m m m'
_symmetry_Int_Tables_number 139
_symmetry_space_group_name_Hall '-I 4 2'
_cell_length_a 4.690
_cell_length_b 4.690
_cell_length_c 17.068
_cell_angle_alpha 90.00
_cell_angle_beta 90.00
_cell_angle_gamma 90.00
loop_
_atom_site_label
_atom_site_type_symbol
_atom_site_fract_x
_atom_site_fract_y
_atom_site_fract_z
Ce1 Ce 0.000 0.000 0.175
Ce2 Ce 0.000 0.500 0.000
In1 In 0.000 0.000 0.364
H1 H 0.000 0.000 0.000
```

Properties
For the total moment, the calculation gives 4.058 μB/f.u. The uncorrected energy comes out at -4.859 eV/atom.